No. 1
La4Pt5: optimized geometry, PBE.

```
data_La4Pt5
_chemical_formula_sum 'La8 Pt10'
_symmetry_space_group_name_H-M 'I 4/m m m'
_symmetry_Int_Tables_number 139
_symmetry_space_group_name_Hall '-I 4 2'
_cell_length_a 9.8669
_cell_length_b 9.8669
_cell_length_c 4.4735
_cell_angle_alpha 90.00
_cell_angle_beta 90.00
_cell_angle_gamma 90.00
loop_
_atom_site_label
_atom_site_type_symbol
_atom_site_fract_x
_atom_site_fract_y
_atom_site_fract_z
La1 La 0.0000 0.2859 0.0000
Pt1 Pt 0.0000 0.0000 0.0000
Pt2 Pt 0.1589 0.1589 0.5000
```

Properties
Its energy of formation from the pure elements is -0.83 eV per atom. The value obtained for the total moment is 0.000 μB per atom. Its excess energy over the best structure of this formula in the dataset is 3.89 kcal/mol of atoms.

=====

No. 2
Tm3Al3Cd2: optimized geometry, PBE.

```
data_Tm3Al3Cd2
_chemical_formula_sum 'Tm12 Al12 Cd8'
_symmetry_space_group_name_H-M 'C m c m'
_symmetry_Int_Tables_number 63
_symmetry_space_group_name_Hall '-C 2c 2'
_cell_length_a 4.5216
_cell_length_b 11.0344
_cell_length_c 14.6332
_cell_angle_alpha 90.00
_cell_angle_beta 90.00
_cell_angle_gamma 90.00
loop_
_atom_site_label
_atom_site_type_symbol
_atom_site_fract_x
_atom_site_fract_y
_atom_site_fract_z
Tm1 Tm 0.0000 0.0756 0.1152
Tm2 Tm 0.0000 0.3463 0.2500
Al1 Al 0.0000 0.3682 0.7500
Al2 Al 0.0000 0.3996 0.0450
Cd1 Cd 0.0000 0.2162 0.5960
```

Properties
Its energy of formation from the pure elements is -0.34 eV per atom. The value obtained for the total moment is 0.019 μB per atom.

=====

No. 3
NaAlSe: optimized geometry, PBE.

```
data_NaAlSe
_chemical_formula_sum 'Na4 Al4 Se4'
_symmetry_space_group_name_H-M 'I m m m'
_symmetry_Int_Tables_number 71
_symmetry_space_group_name_Hall '-I 2 2'
_cell_length_a 4.1717
_cell_length_b 5.5149
_cell_length_c 14.3097
_cell_angle_alpha 90.00
_cell_angle_beta 90.00
_cell_angle_gamma 90.00
loop_
_atom_site_label
_atom_site_type_symbol
_atom_site_fract_x
_atom_site_fract_y
_atom_site_fract_z
Na1 Na 0.0000 0.0000 0.1585
Al1 Al 0.0000 0.2799 0.5000
Se1 Se 0.0000 0.0000 0.3682
```

Properties
The value obtained for the total moment is 0.000 μB per atom. Its excess energy over the best structure of this formula in the dataset is 0.00 kcal/mol of atoms. The formation energy (no corrections) comes out at -433 meV per atom.